{"formula": "BaSrCoWO6", "functional": "meta-GGA SCAN", "state": "PBEsol geometry", "magnetic_moment_mub_per_fu": 3.00, "dft_energy_ha_per_atom": -0.778, "cell": [[5.627, 0.000, 0.000], [2.813, 4.873, 0.000], [2.813, 1.624, 4.594]], "species": ["O", "O", "Sr", "O", "O", "O", "Co", "W", "Ba", "O"], "fractional_positions": [[0.757, 0.757, 0.243], [0.243, 0.757, 0.243], [0.250, 0.250, 0.250], [0.757, 0.243, 0.757], [0.243, 0.243, 0.757], [0.243, 0.757, 0.757], [0.500, 0.500, 0.500], [0.000, 0.000, 0.000], [0.750, 0.750, 0.750], [0.757, 0.243, 0.243]]}

---

{"formula": "BaYCo4O7", "functional": "meta-GGA SCAN", "state": "PBEsol geometry", "magnetic_moment_mub_per_fu": 13.00, "dft_energy_ha_per_atom": -0.582, "cell": [[6.218, 0.000, 0.000], [-3.109, 5.385, 0.000], [0.000, 0.000, 10.107]], "species": ["Co", "Y", "O", "Ba", "O", "O", "Co", "O", "Co", "Co", "O", "O", "O", "O", "Co", "Y", "Ba", "O", "O", "O", "Co", "Co", "O", "O", "Co", "O"], "fractional_positions": [[0.319, 0.159, 0.312], [0.667, 0.333, 0.633], [0.000, 0.000, 0.723], [0.333, 0.667, 0.515], [0.171, 0.829, 0.998], [0.507, 0.015, 0.251], [0.841, 0.681, 0.312], [0.829, 0.658, 0.498], [0.000, 0.000, 0.515], [0.159, 0.319, 0.812], [0.171, 0.342, 0.998], [0.000, 0.000, 0.223], [0.658, 0.829, 0.998], [0.493, 0.507, 0.751], [0.841, 0.159, 0.312], [0.333, 0.667, 0.133], [0.667, 0.333, 0.015], [0.015, 0.507, 0.751], [0.342, 0.171, 0.498], [0.829, 0.171, 0.498], [0.000, 0.000, 0.015], [0.681, 0.841, 0.812], [0.985, 0.493, 0.251], [0.493, 0.985, 0.751], [0.159, 0.841, 0.812], [0.507, 0.493, 0.251]]}

---

{"formula": "BaYCo2O5", "functional": "meta-GGA SCAN", "state": "PBEsol geometry", "magnetic_moment_mub_per_fu": 1.02, "dft_energy_ha_per_atom": -0.630, "cell": [[3.795, 0.000, 0.000], [0.000, 3.795, 0.000], [0.000, 0.000, 7.297]], "species": ["O", "O", "O", "O", "O", "Co", "Y", "Ba", "Co"], "fractional_positions": [[0.500, 0.000, 0.307], [0.500, 0.500, 0.000], [0.500, 0.000, 0.693], [0.000, 0.500, 0.693], [0.000, 0.500, 0.307], [0.500, 0.500, 0.262], [0.000, 0.000, 0.500], [0.000, 0.000, 0.000], [0.500, 0.500, 0.738]]}